Here is crystalline BaSnN3 at its relaxed geometry from the Alexandria database. Energies are from PBE-GGA.

Results
symmetry	Pm-3m
energy	-5.5738	eV per atom
energy relative to the elements, uncorrected	0.61	eV/atom

Lattice parameters (Å, degrees): 4.298 4.298 4.298 90.00 90.00 90.00
Fractional positions:
Ba 0.000 0.000 0.000
Sn 0.500 0.500 0.500
N 0.000 0.500 0.500
N 0.500 0.000 0.500
N 0.500 0.500 0.000

Here is crystalline Ba9Sn3N2 at its relaxed geometry from the Alexandria database. Energies are from PBE-GGA.

Results
symmetry	P-3m1
energy	-3.8429	eV per atom
energy relative to the elements, uncorrected	-0.56	eV/atom

Lattice parameters (Å, degrees): 7.905 7.905 9.746 90.00 90.00 120.00
Fractional positions:
Ba 0.000 0.500 0.000
Ba 0.174 0.348 0.676
Ba 0.174 0.826 0.676
Ba 0.348 0.174 0.324
Ba 0.500 0.000 0.000
Ba 0.500 0.500 0.000
Ba 0.652 0.826 0.676
Ba 0.826 0.174 0.324
Ba 0.826 0.652 0.324
Sn 0.000 0.000 0.000
Sn 0.333 0.667 0.335
Sn 0.667 0.333 0.665
N 0.333 0.667 0.818
N 0.667 0.333 0.182

Here is crystalline Ba4Sn2N at its relaxed geometry from the Alexandria database. Energies are from PBE-GGA.

Results
symmetry	I4/mmm
energy	-3.8719	eV per atom
energy relative to the elements, uncorrected	-0.44	eV/atom

Lattice parameters (Å, degrees): 9.174 9.174 9.174 143.01 143.01 53.31
Fractional positions:
Ba 0.000 0.500 0.500
Ba 0.161 0.161 0.000
Ba 0.500 0.000 0.500
Ba 0.839 0.839 0.000
Sn 0.378 0.378 0.000
Sn 0.622 0.622 0.000
N 0.000 0.000 0.000